{"formula": "Rb3Np2FeO9", "functional": "GGA+U", "state": "relaxed", "rho_g_cm3": 6.91, "total_energy_ev_per_cell": -113.3, "lattice": [[-2.1933, 3.9279, -3.8886], [-3.4977, -2.2430, 4.2538], [1.9040, 5.4674, 4.4486]], "species": ["O", "Np", "O", "Rb", "Fe", "Rb", "O", "O", "O", "O", "Rb", "O", "O", "Np", "O"], "frac_coords": [[0.8323, 0.6645, 0.6665], [0.3333, 0.6667, 0.1783], [0.5000, 0.0000, 0.0000], [0.3333, 0.6667, 0.6629], [0.0000, 0.0000, 0.5000], [0.0000, 0.0000, 0.0000], [0.3355, 0.1677, 0.6665], [0.8323, 0.1677, 0.6665], [0.6645, 0.8323, 0.3335], [0.1677, 0.3355, 0.3335], [0.6667, 0.3333, 0.3371], [0.5000, 0.5000, 0.0000], [0.1677, 0.8323, 0.3335], [0.6667, 0.3333, 0.8217], [0.0000, 0.5000, 0.0000]]}